# ErTm2Lu

A relaxed structure of ErTm2Lu (PBE, OQMD via LeMat-Bulk).

```
data_ErTm2Lu
_chemical_formula_sum 'Er4 Tm8 Lu4'
_cell_length_a 7.0756
_cell_length_b 12.2547
_cell_length_c 5.5005
_cell_angle_alpha 90.00
_cell_angle_beta 90.00
_cell_angle_gamma 90.00
_space_group_name_H-M_alt 'C m c m'
_space_group_IT_number 63
_space_group_name_Hall '-C 2c 2'
loop_
_atom_site_label
_atom_site_type_symbol
_atom_site_fract_x
_atom_site_fract_y
_atom_site_fract_z
_atom_site_occupancy
Er1 Er 0.0000 0.1669 0.2500 1
Tm1 Tm 0.2494 0.4167 0.2500 1
Lu1 Lu 0.0000 0.3336 0.7500 1
```

Output
Energy   -4.51 eV per atom
Formation enthalpy at 0 K   -0.001 eV per atom